Here is a relaxed structure of SrTa2Bi2O9 from Alexandria. Energies are from GGA-PBEsol.

```
data_SrTa2Bi2O9
_space_group_name_H-M_alt 'A e a 2'
_space_group_IT_number 41
_space_group_name_Hall 'A 2 -2ab'
_cell_length_a 5.519
_cell_length_b 24.989
_cell_length_c 5.535
_cell_angle_alpha 90.00
_cell_angle_beta 90.00
_cell_angle_gamma 90.00
loop_
_atom_site_label
_atom_site_fract_x
_atom_site_fract_y
_atom_site_fract_z
_atom_site_occupancy
Sr1 0.000 0.000 0.000 1
Ta1 0.004 0.084 0.493 1
Bi1 0.027 0.200 0.914 1
O1 0.000 0.000 0.496 1
O2 0.049 0.159 0.509 1
O3 0.224 0.073 0.773 1
O4 0.226 0.421 0.721 1
O5 0.240 0.252 0.193 1
```

Values from the calculation:
Total magnetization ... 0.00 μB/f.u.
Crystal system ... orthorhombic
Electronic total energy ... -8.324 eV/atom


Here is a relaxed structure of CoCu3 from Alexandria. Energies are from GGA-PBEsol.

```
data_CoCu3
_space_group_name_H-M_alt 'P -6 m 2'
_space_group_IT_number 187
_space_group_name_Hall 'P -6 2'
_cell_length_a 2.4802
_cell_length_b 2.4802
_cell_length_c 8.2860
_cell_angle_alpha 90.00
_cell_angle_beta 90.00
_cell_angle_gamma 120.00
loop_
_atom_site_label
_atom_site_fract_x
_atom_site_fract_y
_atom_site_fract_z
_atom_site_occupancy
Co1 0.0000 0.0000 0.0000 1
Cu1 0.0000 0.0000 0.5000 1
Cu2 0.6667 0.3333 0.2481 1
```

Values from the calculation:
Energy relative to the elements ... 0.0892 eV per atom
Total magnetization ... 1.48 μB/f.u.
Crystal system ... hexagonal
Electronic total energy ... -5.096 eV/atom


| no. | V (Å³/atom) | DOS at the Fermi energy (states/eV/atom) |
| --- | --- | --- |
| 1 | 13.63 | 0.00 |
| 2 | 11.04 | 0.65 |